A plane-wave DFT calculation with GGA-PBE was carried out for CsInTe3Pd after structural relaxation.

* uncorrected energy: -21.10 eV per formula unit
* distance to the lowest polymorph of the same formula: 0.0 meV per atom

a b c (Å): 16.316 4.560 12.203
angles (deg): 90.00 90.00 90.00
Atoms (fractional coordinates):
Cs 0.220 0.250 0.017
Cs 0.720 0.250 0.483
Cs 0.280 0.750 0.517
Cs 0.780 0.750 0.983
In 0.526 0.250 0.133
In 0.026 0.250 0.367
In 0.974 0.750 0.633
In 0.474 0.750 0.867
Pd 0.022 0.750 0.073
Pd 0.522 0.750 0.427
Pd 0.478 0.250 0.573
Pd 0.978 0.250 0.927
Te 0.403 0.750 0.081
Te 0.955 0.250 0.141
Te 0.117 0.750 0.250
Te 0.617 0.750 0.250
Te 0.455 0.250 0.359
Te 0.903 0.750 0.419
Te 0.097 0.250 0.581
Te 0.545 0.750 0.641
Te 0.383 0.250 0.750
Te 0.883 0.250 0.750
Te 0.045 0.750 0.859
Te 0.597 0.250 0.919